Entry from Alexandria via LeMat-Bulk: a relaxed structure of AlCoF3 (GGA+U).

Structure (POSCAR):
```
AlCoF3
1.0
4.103 0.000 0.000
0.000 4.103 0.000
0.000 0.000 4.103
Al Co F
1 1 3
Direct
0.000 0.000 0.000 Al
0.500 0.500 0.500 Co
0.000 0.500 0.500 F
0.500 0.000 0.500 F
0.500 0.500 0.000 F
```

Volume   13.817 A^3/atom
Polymorph energy (0 for the lowest one)   132 meV per atom
DOS at the Fermi energy   7.19 states/eV/f.u.